# CaTm2Ag2, relaxed, DFT PBE-GGA
# Magnetization: 0.00 μB per atom
# Crystal system: orthorhombic
# Energy of formation: -0.15 eV/atom
data_CaTm2Ag2
_cell_length_a 3.633
_cell_length_b 20.477
_cell_length_c 3.578
_cell_angle_alpha 90.00
_cell_angle_beta 90.00
_cell_angle_gamma 90.00
_symmetry_space_group_name_H-M 'C m m m'
_symmetry_Int_Tables_number 65
_symmetry_space_group_name_Hall '-C 2 2'
loop_
_atom_site_label
_atom_site_fract_x
_atom_site_fract_y
_atom_site_fract_z
_atom_site_occupancy
Ca1 0.000 0.000 0.000 1
Tm1 0.000 0.178 0.000 1
Ag1 0.000 0.400 0.500 1

# CaTm2Ag, relaxed, DFT PBE-GGA
# Energy above the most stable polymorph in this dataset: 0.252 eV per atom
# Magnetization: 0.00 μB per atom
# Crystal system: trigonal
# Energy of formation: 0.18 eV/atom
data_CaTm2Ag
_cell_length_a 3.5560
_cell_length_b 3.5560
_cell_length_c 33.4118
_cell_angle_alpha 90.00
_cell_angle_beta 90.00
_cell_angle_gamma 120.00
_symmetry_space_group_name_H-M 'R -3 m'
_symmetry_Int_Tables_number 166
_symmetry_space_group_name_Hall '-R 3 2"'
loop_
_atom_site_label
_atom_site_fract_x
_atom_site_fract_y
_atom_site_fract_z
_atom_site_occupancy
Ca1 0.0000 0.0000 0.0000 1
Tm1 0.0000 0.0000 0.1002 1
Ag1 0.0000 0.0000 0.5000 1

no.,density of states at the Fermi level (states/eV/cell)
1,6.1
2,16.7